## one
The following is a DFT calculation (PBE) of PmHoRh after structural relaxation.

Structure (CIF):
```
data_PmHoRh
_chemical_formula_sum 'Pm2 Ho2 Rh2'
_space_group_name_H-M_alt 'P -1'
_space_group_IT_number 2
_cell_length_a 3.474
_cell_length_b 6.856
_cell_length_c 7.033
_cell_angle_alpha 105.78
_cell_angle_beta 90.11
_cell_angle_gamma 104.59
loop_
_space_group_symop_operation_xyz
'x,y,z'
'-x,-y,-z'
loop_
_atom_site_label
_atom_site_type_symbol
_atom_site_fract_x
_atom_site_fract_y
_atom_site_fract_z
Pm1 Pm 0.130 0.261 0.066
Ho1 Ho 0.129 0.258 0.561
Rh1 Rh 0.494 0.988 0.264
```

Calculated values
Density of states at the Fermi level   5.83 states/eV/cell

---

## two
The following is a DFT calculation (PBE) of PmHoRh after structural relaxation.

Structure (CIF):
```
data_PmHoRh
_chemical_formula_sum 'Pm4 Ho4 Rh4'
_space_group_name_H-M_alt 'F -4 3 m'
_space_group_IT_number 216
_space_group_name_Hall 'F -4 2 3'
_cell_length_a 6.871
_cell_length_b 6.871
_cell_length_c 6.871
_cell_angle_alpha 90.00
_cell_angle_beta 90.00
_cell_angle_gamma 90.00
loop_
_atom_site_label
_atom_site_type_symbol
_atom_site_fract_x
_atom_site_fract_y
_atom_site_fract_z
Pm1 Pm 0.000 0.000 0.000
Ho1 Ho 0.000 0.000 0.500
Rh1 Rh 0.250 0.250 0.250
```

Calculated values
Density of states at the Fermi level   12.89 states/eV/cell

---

## three
The following is a DFT calculation (PBE) of PmHoRh after structural relaxation.

Structure (CIF):
```
data_PmHoRh
_chemical_formula_sum 'Pm2 Ho2 Rh2'
_space_group_name_H-M_alt 'I 4 m m'
_space_group_IT_number 107
_space_group_name_Hall 'I 4 -2'
_cell_length_a 3.485
_cell_length_b 3.485
_cell_length_c 12.783
_cell_angle_alpha 90.00
_cell_angle_beta 90.00
_cell_angle_gamma 90.00
loop_
_atom_site_label
_atom_site_type_symbol
_atom_site_fract_x
_atom_site_fract_y
_atom_site_fract_z
Pm1 Pm 0.000 0.000 0.000
Ho1 Ho 0.000 0.000 0.740
Rh1 Rh 0.000 0.000 0.361
```

Calculated values
Density of states at the Fermi level   7.34 states/eV/cell

---

Most stable pick: two. Distance to second place: 1.7 kJ/mol of atoms.